Entry 1:
## Cs2NiTeSeS (PBE-GGA)

Data for a relaxed Cs2NiTeSeS crystal.

Output
**Raw total energy**: -3.645 eV per atom
**Space group**: C2/m (12)
**Magnetic moment**: 0.3 μB/f.u.

Cell: 7.3886 7.3886 9.8246 Å, 109.30 109.30 59.83°
Atoms (fractional coordinates):
Cs  0.4359  0.4359  0.1673
Cs  0.2067  0.2067  0.3492
Cs  0.7933  0.7933  0.6508
Cs  0.5641  0.5641  0.8327
Ni  0.9215  0.9215  0.3743
Ni  0.0785  0.0785  0.6257
S  0.7638  0.2362  0.5000
S  0.2362  0.7638  0.5000
Se  0.7301  0.7301  0.2361
Se  0.2699  0.2699  0.7639
Te  0.8812  0.8812  0.0933
Te  0.1188  0.1188  0.9067

Entry 2:
## CsTlNiSeS2 (PBE-GGA)

Data for a relaxed CsTlNiSeS2 crystal.

Output
**Raw total energy**: -3.881 eV per atom
**Space group**: P-1 (2)
**Magnetic moment**: 0.0 μB/f.u.

Cell: 6.8746 7.1485 8.3059 Å, 77.85 69.46 63.81°
Atoms (fractional coordinates):
Cs  0.7874  0.0739  0.3327
Cs  0.2126  0.9261  0.6673
Ni  0.1137  0.4306  0.3467
Ni  0.8863  0.5694  0.6533
S  0.3136  0.1259  0.2277
S  0.7568  0.5216  0.4719
S  0.2432  0.4784  0.5281
S  0.6864  0.8741  0.7723
Se  0.1597  0.6295  0.0916
Se  0.8403  0.3705  0.9084
Tl  0.5371  0.7233  0.1147
Tl  0.4629  0.2767  0.8853

Entry 3:
## CsSmNiS3 (PBE-GGA)

Data for a relaxed CsSmNiS3 crystal.

Output
**Raw total energy**: -5.151 eV per atom
**Space group**: Pnma (62)
**Magnetic moment**: 0.2 μB/f.u.

Cell: 11.3862 4.2175 12.3688 Å, 90.00 90.00 90.00°
Atoms (fractional coordinates):
Cs  0.1573  0.2500  0.0166
Cs  0.6573  0.2500  0.4834
Cs  0.3427  0.7500  0.5166
Cs  0.8427  0.7500  0.9834
Ni  0.7405  0.2500  0.1976
Ni  0.2405  0.2500  0.3024
Ni  0.7595  0.7500  0.6976
Ni  0.2595  0.7500  0.8024
S  0.6155  0.2500  0.0512
S  0.9356  0.2500  0.2053
S  0.2212  0.7500  0.2430
S  0.7212  0.7500  0.2570
S  0.4356  0.2500  0.2947
S  0.1155  0.2500  0.4488
S  0.8845  0.7500  0.5512
S  0.5644  0.7500  0.7053
S  0.2788  0.2500  0.7430
S  0.7788  0.2500  0.7570
S  0.0644  0.7500  0.7947
S  0.3845  0.7500  0.9488
Sm  0.4912  0.7500  0.1550
Sm  0.9912  0.7500  0.3450
Sm  0.0088  0.2500  0.6550
Sm  0.5088  0.2500  0.8450